18
Lattice="9.327 0.000 0.000 -4.664 8.078 0.000 0.000 0.000 6.339" Properties=species:S:1:pos:R:3 comment="Pu5Sb3Pt | the Alexandria database | GGA-PBE | optimized geometry" total_magnetization_mub_per_fu=28.93 total_energy_ev_per_atom=-10.67 dos_ef_per_ev_fu=41.5 pbc="T T T"
Pu -1.213 2.101 1.585
Pu -3.451 5.977 4.754
Pu 2.426 0.000 1.585
Pu 1.213 2.101 4.754
Pu 0.000 5.385 0.000
Pu 0.000 5.385 3.170
Pu 4.664 2.693 0.000
Pu 4.664 2.693 3.170
Pu 6.902 0.000 4.754
Pu 3.451 5.977 1.585
Sb -1.810 3.134 4.754
Sb -2.854 4.943 1.585
Sb 3.619 0.000 4.754
Sb 1.810 3.134 1.585
Sb 5.708 0.000 1.585
Sb 2.854 4.943 4.754
Pt 0.000 0.000 0.000
Pt 0.000 0.000 3.170

***

10
Lattice="3.469 2.003 5.260 -3.469 2.003 5.260 0.000 -4.006 5.260" Properties=species:S:1:pos:R:3 comment="PuSbPt3 | the Alexandria database | GGA-PBE | optimized geometry" total_magnetization_mub_per_fu=5.00 total_energy_ev_per_atom=-7.69 dos_ef_per_ev_fu=14.9 pbc="T T T"
Pu 0.000 0.000 0.000
Pu 0.000 0.000 7.890
Sb 0.000 0.000 3.194
Sb 0.000 0.000 11.084
Pt -2.968 -0.465 8.009
Pt -1.081 -1.202 5.379
Pt -0.501 1.537 5.379
Pt 1.582 -0.335 5.379
Pt 1.887 -2.338 8.009
Pt 1.081 2.803 8.009

***

14
Lattice="2.595 -4.495 0.000 2.595 4.495 0.000 0.000 0.000 14.552" Properties=species:S:1:pos:R:3 comment="Pu4SbPt2 | the Alexandria database | GGA-PBE | optimized geometry" total_magnetization_mub_per_fu=0.27 total_energy_ev_per_atom=-10.97 dos_ef_per_ev_fu=45.0 pbc="T T T"
Pu 0.000 0.000 0.000
Pu 0.000 0.000 7.276
Pu 2.595 1.501 9.270
Pu 2.595 1.501 12.559
Pu 2.595 1.495 3.638
Pu 2.595 -1.495 10.914
Pu 2.595 -1.501 1.994
Pu 2.595 -1.501 5.283
Sb 2.595 4.491 3.638
Sb 2.595 -4.491 10.914
Pt 2.595 1.496 0.828
Pt 2.595 1.496 6.448
Pt 2.595 -1.496 8.105
Pt 2.595 -1.496 13.724

***

12
Lattice="4.137 0.000 0.000 0.000 4.137 0.000 0.000 0.000 12.372" Properties=species:S:1:pos:R:3 comment="Pu2SbPt9 | the Alexandria database | GGA-PBE | optimized geometry" total_magnetization_mub_per_fu=9.07 total_energy_ev_per_atom=-7.78 dos_ef_per_ev_fu=33.7 pbc="T T T"
Pu 0.000 0.000 2.061
Pu 0.000 0.000 10.311
Sb 0.000 0.000 6.186
Pt 0.000 2.068 0.000
Pt 0.000 2.068 4.174
Pt 0.000 2.068 8.199
Pt 2.068 0.000 0.000
Pt 2.068 0.000 4.174
Pt 2.068 0.000 8.199
Pt 2.068 2.068 2.131
Pt 2.068 2.068 6.186
Pt 2.068 2.068 10.241

***

20
Lattice="5.554 0.000 0.000 0.000 8.516 0.000 0.000 0.000 8.750" Properties=species:S:1:pos:R:3 comment="Pu2SiSbPt6 | the Alexandria database | GGA-PBE | optimized geometry" total_magnetization_mub_per_fu=10.26 total_energy_ev_per_atom=-8.11 dos_ef_per_ev_fu=28.6 pbc="T T T"
Pu 1.388 0.072 2.093
Pu 1.388 4.186 2.093
Pu 4.165 4.331 6.657
Pu 4.165 8.444 6.657
Si 1.388 6.387 6.502
Si 4.165 2.129 2.248
Sb 1.388 2.129 6.872
Sb 4.165 6.387 1.877
Pt 0.015 2.129 4.301
Pt 0.024 6.387 8.426
Pt 1.388 0.006 5.343
Pt 1.388 4.252 5.343
Pt 2.753 6.387 8.426
Pt 2.762 2.129 4.301
Pt 2.792 6.387 4.449
Pt 2.801 2.129 0.324
Pt 4.165 4.264 3.407
Pt 4.165 8.510 3.407
Pt 5.530 2.129 0.324
Pt 5.539 6.387 4.449

***

10
Lattice="4.651 0.000 0.000 0.000 4.651 0.000 0.000 0.000 11.310" Properties=species:S:1:pos:R:3 comment="Sr2PuSb3Pt4 | the Alexandria database | GGA-PBE | optimized geometry" total_magnetization_mub_per_fu=5.54 total_energy_ev_per_atom=-6.21 dos_ef_per_ev_fu=12.5 pbc="T T T"
Sr 0.000 2.325 2.560
Sr 2.325 0.000 8.749
Pu 0.000 0.000 5.655
Sb 0.000 2.325 9.929
Sb 2.325 0.000 1.380
Sb 2.325 2.325 5.655
Pt 0.000 0.000 0.000
Pt 0.000 2.325 7.304
Pt 2.325 0.000 4.005
Pt 2.325 2.325 0.000